Compound: NdDy4Er4
Source: the Alexandria database
Functional: PBE-GGA
Structure: relaxed

abc: 9.5980 8.6098 13.9634
angles: 105.64 103.66 136.97
Closest atoms and distances in Å follow each position.
Sites, in units of the cell vectors:
Nd1 0.5266 0.4970 0.7849  7 Er 3.35-3.58, 3 Dy 3.45-3.65
Nd2 0.4734 0.5030 0.2151  7 Er 3.35-3.58, 3 Dy 3.45-3.65
Dy1 0.1260 0.7893 0.5393  5 Dy 3.17-3.54, 3 Er 3.35-3.51, 1 Nd 3.45
Dy2 0.0754 0.7375 0.9623  7 Er 3.44-3.78, 4 Dy 3.54-3.79, 2 Nd 3.65-3.84
Dy3 0.5936 0.9300 0.7033  6 Er 3.43-3.76, 6 Dy 3.51-3.83, 1 Nd 3.84
Dy4 0.2518 0.5851 0.3699  7 Dy 3.46-3.87, 5 Er 3.52-3.74, 1 Nd 3.64
Dy5 0.7482 0.4149 0.6301  7 Dy 3.46-3.87, 5 Er 3.52-3.74, 1 Nd 3.64
Dy6 0.4064 0.0700 0.2967  6 Er 3.43-3.76, 6 Dy 3.51-3.83, 1 Nd 3.84
Dy7 0.9246 0.2625 0.0377  7 Er 3.44-3.78, 4 Dy 3.54-3.79, 2 Nd 3.65-3.84
Dy8 0.8740 0.2107 0.4607  5 Dy 3.17-3.54, 3 Er 3.35-3.51, 1 Nd 3.45
Er1 0.2111 0.5431 0.7923  4 Er 3.18-3.51, 1 Nd 3.35, 5 Dy 3.43-3.55
Er2 0.5393 0.8761 0.1237  4 Er 3.18-3.51, 5 Dy 3.44-3.56, 1 Nd 3.46
Er3 0.1982 0.1771 0.4537  5 Dy 3.35-3.72, 4 Er 3.41-3.60, 2 Nd 3.53-3.57
Er4 0.1352 0.1574 0.8798  5 Er 3.35-3.60, 3 Nd 3.45-3.58, 3 Dy 3.66-3.74
Er5 0.8018 0.8230 0.5463  5 Dy 3.35-3.72, 4 Er 3.41-3.60, 2 Nd 3.53-3.57
Er6 0.8648 0.8426 0.1202  5 Er 3.35-3.60, 3 Nd 3.45-3.58, 3 Dy 3.66-3.74
Er7 0.7889 0.4569 0.2077  4 Er 3.18-3.51, 1 Nd 3.35, 5 Dy 3.43-3.55
Er8 0.4607 0.1239 0.8763  4 Er 3.18-3.51, 5 Dy 3.44-3.56, 1 Nd 3.46

Results
formation enthalpy at 0 K = 37 meV/atom
theoretical density = 8.52 g/cm3
energy above the lowest structure with this stoichiometry = 15.9 meV per atom
space-group type = P-1 (2)

---

Compound: TaAsPCl2
Source: the Alexandria database
Functional: PBE-GGA
Structure: relaxed

abc: 4.6902 4.6902 5.1985
angles: 90.00 90.00 90.00
Closest atoms and distances in Å follow each position.
Sites, in units of the cell vectors:
P1 0.0000 0.0000 0.5000  2 As 2.60
As1 0.0000 0.0000 0.0000  4 Cl 2.35, 2 P 2.60
Cl1 0.0000 0.5000 0.0000  2 As 2.35
Cl2 0.5000 0.0000 0.0000  2 As 2.35
Ta1 0.5000 0.5000 0.5000  4 P 3.32, 8 Cl 3.50

Results
raw formation energy = 494 kJ/mol of formula units
theoretical density = 5.19 g/cm3
energy above the lowest structure with this stoichiometry = 858.6 meV per atom
space-group type = P4/mmm (123)

---

Compound: Tl5CuBr2Cl4
Source: the Alexandria database
Functional: PBE-GGA
Structure: relaxed

abc: 7.9530 6.8146 9.5638
angles: 90.00 90.00 125.70
Closest atoms and distances in Å follow each position.
Sites, in units of the cell vectors:
Tl1 0.0874 0.3854 0.2280  3 Cl 3.07-3.36, 2 Br 3.30-3.42
Tl2 0.4595 0.0000 0.5000  2 Cl 3.13, 2 Br 3.30
Tl3 0.0874 0.3854 0.7720  3 Cl 3.07-3.36, 2 Br 3.30-3.42
Tl4 0.7020 0.6146 0.7720  3 Cl 3.07-3.36, 2 Br 3.30-3.42
Tl5 0.7020 0.6146 0.2280  3 Cl 3.07-3.36, 2 Br 3.30-3.42
Cu1 0.4099 0.0000 0.0000  4 Cl 2.34-2.37
Br1 0.9573 0.5694 0.5000  6 Tl 3.30-3.58
Br2 0.3879 0.4306 0.5000  6 Tl 3.30-3.58
Cl1 0.5925 0.0000 0.1921  1 Cu 2.34
Cl2 0.5925 0.0000 0.8079  1 Cu 2.34
Cl3 0.3749 0.3225 0.0000  1 Cu 2.37
Cl4 0.0524 0.6775 0.0000  1 Cu 2.37

Results
raw formation energy = -956 kJ/mol of formula units
theoretical density = 5.47 g/cm3
space-group type = Amm2 (38)

---

Compound: Sc2UAl2Ru5
Source: the Alexandria database
Functional: PBE-GGA
Structure: relaxed

abc: 3.3779 9.8794 9.8794
angles: 90.00 90.00 90.00
Closest atoms and distances in Å follow each position.
Sites, in units of the cell vectors:
Sc1 0.0000 0.6675 0.1675  3 Al 2.85-2.95, 10 Ru 2.89-3.19
Sc2 0.0000 0.3325 0.8325  3 Al 2.85-2.95, 10 Ru 2.89-3.19
Sc3 0.0000 0.1675 0.3325  3 Al 2.85-2.95, 10 Ru 2.89-3.19
Sc4 0.0000 0.8325 0.6675  3 Al 2.85-2.95, 10 Ru 2.89-3.19
U1 0.0000 0.0000 0.0000  8 Ru 2.68
U2 0.0000 0.5000 0.5000  8 Ru 2.68
Al1 0.0000 0.1284 0.6284  6 Ru 2.46-2.47
Al2 0.0000 0.8716 0.3716  6 Ru 2.46-2.47
Al3 0.0000 0.6284 0.8716  6 Ru 2.46-2.47
Al4 0.0000 0.3716 0.1284  6 Ru 2.46-2.47
Ru1 0.5000 0.1987 0.0716  2 Al 2.47, 2 U 2.68
Ru2 0.5000 0.8013 0.9284  2 Al 2.47, 2 U 2.68
Ru3 0.5000 0.0716 0.8013  2 Al 2.47, 2 U 2.68
Ru4 0.5000 0.6987 0.4284  2 Al 2.47, 2 U 2.68
Ru5 0.5000 0.9284 0.1987  2 Al 2.47, 2 U 2.68
Ru6 0.5000 0.3013 0.5716  2 Al 2.47, 2 U 2.68
Ru7 0.5000 0.5716 0.6987  2 Al 2.47, 2 U 2.68
Ru8 0.5000 0.4284 0.3013  2 Al 2.47, 2 U 2.68
Ru9 0.5000 0.5000 0.0000  4 Al 2.46
Ru10 0.5000 0.0000 0.5000  4 Al 2.46

Results
formation enthalpy at 0 K = -541 meV/atom
theoretical density = 8.94 g/cm3
space-group type = P4/mbm (127)

---

Compound: VAuN3
Source: the Alexandria database
Functional: PBE-GGA
Structure: relaxed

abc: 4.0261 4.0261 4.0261
angles: 90.00 90.00 90.00
Closest atoms and distances in Å follow each position.
Sites, in units of the cell vectors:
V1 0.5000 0.5000 0.5000  12 N 2.85
Au1 0.0000 0.0000 0.0000  6 N 2.01
N1 0.0000 0.5000 0.0000  2 Au 2.01
N2 0.0000 0.0000 0.5000  2 Au 2.01
N3 0.5000 0.0000 0.0000  2 Au 2.01

Results
raw formation energy = 1037 kJ/mol of formula units
theoretical density = 7.38 g/cm3
space-group type = Pm-3m (221)

---

Compound: SiTe2Ir
Source: the Alexandria database
Functional: PBE-GGA
Structure: relaxed

abc: 3.0375 3.0375 9.8552
angles: 90.00 90.00 90.01
Closest atoms and distances in Å follow each position.
Sites, in units of the cell vectors:
Ir1 0.0000 0.0000 0.5511  4 Si 2.49
Si1 0.5000 0.5000 0.6782  4 Ir 2.49
Te1 0.0000 0.0000 0.9494  4 Te 3.04
Te2 0.5000 0.5000 0.3213  4 Te 3.04, 4 Ir 3.12

Results
raw formation energy = 70 kJ/mol of formula units
theoretical density = 8.68 g/cm3
space-group type = P4mm (99)

---

Compound: YTaOs2
Source: the Alexandria database
Functional: PBE-GGA
Structure: relaxed

abc: 3.2951 4.9191 4.3827
angles: 90.00 90.00 90.00
Closest atoms and distances in Å follow each position.
Sites, in units of the cell vectors:
Os1 0.0000 0.0000 0.0000  4 Ta 2.74, 4 Os 2.96
Os2 0.5000 0.5000 0.0000  4 Y 2.74, 4 Os 2.96
Ta1 0.5000 0.0000 0.5000  4 Os 2.74, 4 Y 2.96
Y1 0.0000 0.5000 0.5000  4 Os 2.74, 4 Ta 2.96

Results
formation enthalpy at 0 K = 288 meV/atom
theoretical density = 15.20 g/cm3
space-group type = Pmmm (47)

---

Compound: MgTc3Te
Source: the Alexandria database
Functional: PBE-GGA
Structure: relaxed

abc: 4.8434 4.8434 4.8434
angles: 90.00 90.00 90.00
Closest atoms and distances in Å follow each position.
Sites, in units of the cell vectors:
Mg1 0.5000 0.5000 0.5000  12 Tc 3.42
Te1 0.0000 0.0000 0.0000  6 Tc 2.42
Tc1 0.0000 0.5000 0.0000  2 Te 2.42
Tc2 0.0000 0.0000 0.5000  2 Te 2.42
Tc3 0.5000 0.0000 0.0000  2 Te 2.42

Results
raw formation energy = 702 kJ/mol of formula units
theoretical density = 6.52 g/cm3
energy above the lowest structure with this stoichiometry = 0.0 meV per atom
space-group type = Pm-3m (221)

---

Compound: UIn2Ge3Ir4
Source: the Alexandria database
Functional: PBE-GGA
Structure: relaxed

abc: 4.2870 4.2870 10.6747
angles: 90.00 90.00 90.00
Closest atoms and distances in Å follow each position.
Sites, in units of the cell vectors:
U1 0.5000 0.5000 0.5000  4 Ir 2.65
In1 0.5000 0.0000 0.2413  8 Ir 3.26-3.35, 6 Ge 3.29-3.50, 2 U 3.50
In2 0.0000 0.5000 0.7587  8 Ir 3.26-3.35, 6 Ge 3.29-3.50, 2 U 3.50
Ge1 0.0000 0.0000 0.5000  4 Ir 2.65
Ge2 0.5000 0.0000 0.8779  5 Ir 2.48-2.51
Ge3 0.0000 0.5000 0.1221  5 Ir 2.48-2.51
Ir1 0.5000 0.5000 0.0000  4 Ge 2.51
Ir2 0.0000 0.0000 0.0000  4 Ge 2.51
Ir3 0.5000 0.0000 0.6458  3 Ge 2.48-2.65, 2 U 2.65
Ir4 0.0000 0.5000 0.3542  3 Ge 2.48-2.65, 2 U 2.65

Results
formation enthalpy at 0 K = -160 meV/atom
theoretical density = 12.31 g/cm3
space-group type = P-4m2 (115)

---

Compound: ZrZnRh
Source: the Alexandria database
Functional: PBE-GGA
Structure: relaxed

abc: 4.4300 4.4300 4.4300
angles: 60.00 60.00 60.00
Closest atoms and distances in Å follow each position.
Sites, in units of the cell vectors:
Rh1 0.0000 0.0000 0.0000  4 Zr 2.71
Zn1 0.5000 0.5000 0.5000  4 Zr 2.71
Zr1 0.7500 0.7500 0.7500  4 Rh 2.71, 4 Zn 2.71

Results
formation enthalpy at 0 K = 82 meV/atom
theoretical density = 7.01 g/cm3
space-group type = F-43m (216)

---

Compound: Na2NbAg
Source: the Alexandria database
Functional: PBE-GGA
Structure: relaxed

abc: 4.9339 4.9339 4.9339
angles: 60.00 60.00 60.00
Closest atoms and distances in Å follow each position.
Sites, in units of the cell vectors:
Na1 0.2500 0.2500 0.2500  4 Nb 3.02, 4 Ag 3.02
Na2 0.7500 0.7500 0.7500  4 Ag 3.02, 4 Nb 3.02
Nb1 0.0000 0.0000 0.0000  8 Na 3.02
Ag1 0.5000 0.5000 0.5000  8 Na 3.02

Results
formation enthalpy at 0 K = 1104 meV/atom
theoretical density = 4.82 g/cm3
energy above the lowest structure with this stoichiometry = 78.0 meV per atom
space-group type = Fm-3m (225)

---

Compound: MnTeRh2
Source: the Alexandria database
Functional: PBE-GGA
Structure: relaxed

abc: 8.2831 8.2831 8.2831
angles: 21.75 21.75 21.75
Closest atoms and distances in Å follow each position.
Sites, in units of the cell vectors:
Mn1 0.7451 0.7451 0.7451  3 Rh 2.54, 3 Te 2.82
Rh1 0.0045 0.0045 0.0045  3 Mn 2.54, 3 Rh 2.81
Rh2 0.2490 0.2490 0.2490  3 Te 2.67, 3 Rh 2.81
Te1 0.5014 0.5014 0.5014  3 Rh 2.67, 3 Mn 2.82

Results
raw formation energy = 117 kJ/mol of formula units
theoretical density = 9.43 g/cm3
space-group type = R3m (160)

---

> What is the formula in the eleventh record?

Na2NbAg

---

> The highest theoretical density belongs to which entry?

YTaOs2